Entry 1:
Ho2ErTm: relaxed, PBE.

Computed properties:
As for the space group: No. 123. As for the total magnetization: 0.0 μB/cell. The calculation puts the total DFT energy (no corrections) at -4.5239 eV per atom. The calculation puts the volume at 121.55 Å³/cell. The polymorph energy (0 for the lowest one) comes out at 0.10 eV/f.u. For the formation energy, the calculation gives 0.024 eV/atom.

a b c (Å): 3.503 3.503 9.908
angles (deg): 90.00 90.00 90.00
Positions (direct):
Tm 0.500 0.500 0.000
Ho 0.000 0.000 0.249
Er 0.500 0.500 0.500
Ho 0.000 0.000 0.751



Entry 2:
HoEr4Tm15: relaxed, PBE.

Computed properties:
As for the space group: No. 123. As for the total magnetization: 0.0 μB/cell. The calculation puts the total DFT energy (no corrections) at -4.4687 eV per atom. The calculation puts the volume at 598.73 Å³/cell. For the formation energy, the calculation gives 0.026 eV/atom.

a b c (Å): 4.928 4.928 24.653
angles (deg): 90.00 90.00 90.00
Positions (direct):
Tm 0.000 0.500 0.100
Tm 0.500 0.000 0.700
Er 0.000 0.000 0.800
Tm 0.500 0.000 0.300
Tm 0.500 0.500 0.600
Er 0.000 0.000 0.200
Tm 0.500 0.000 0.900
Tm 0.500 0.500 0.000
Tm 0.000 0.500 0.900
Ho 0.000 0.000 0.000
Tm 0.000 0.500 0.500
Er 0.000 0.000 0.600
Tm 0.000 0.500 0.300
Tm 0.500 0.500 0.800
Tm 0.500 0.500 0.400
Tm 0.000 0.500 0.700
Tm 0.500 0.500 0.200
Er 0.000 0.000 0.400
Tm 0.500 0.000 0.100
Tm 0.500 0.000 0.500



Entry 3:
Ho4Er3Tm: relaxed, PBE.

Computed properties:
As for the space group: No. 31. As for the total magnetization: 0.0 μB/cell. The calculation puts the total DFT energy (no corrections) at -4.5594 eV per atom. The calculation puts the volume at 493.86 Å³/cell. The polymorph energy (0 for the lowest one) comes out at 0.00 eV/f.u. For the formation energy, the calculation gives -0.001 eV/atom.

a b c (Å): 6.206 7.179 11.085
angles (deg): 90.00 90.00 90.00
Positions (direct):
Ho 0.981 0.126 0.250
Ho 0.148 0.875 0.000
Ho 0.648 0.125 0.500
Ho 0.481 0.874 0.250
Tm 0.648 0.624 0.500
Ho 0.148 0.874 0.500
Ho 0.481 0.874 0.750
Er 0.481 0.376 0.750
Er 0.981 0.624 0.250
Er 0.981 0.624 0.750
Ho 0.648 0.126 0.000
Ho 0.981 0.126 0.750
Tm 0.148 0.376 0.000
Er 0.648 0.625 0.000
Er 0.148 0.375 0.500
Er 0.481 0.376 0.250



Entry 4:
Ho2ErTm: relaxed, PBE.

Computed properties:
As for the space group: No. 59. As for the total magnetization: 0.0 μB/cell. The calculation puts the total DFT energy (no corrections) at -4.5488 eV per atom. The calculation puts the volume at 493.19 Å³/cell. The polymorph energy (0 for the lowest one) comes out at 0.00 eV/f.u. For the formation energy, the calculation gives -0.001 eV/atom.

a b c (Å): 5.545 12.402 7.172
angles (deg): 90.00 90.00 90.00
Positions (direct):
Er 0.943 0.667 0.250
Er 0.443 0.833 0.750
Ho 0.943 0.916 0.500
Ho 0.443 0.584 0.500
Ho 0.443 0.084 0.000
Tm 0.943 0.667 0.750
Ho 0.943 0.916 0.000
Ho 0.443 0.584 0.000
Tm 0.443 0.333 0.250
Er 0.443 0.333 0.750
Ho 0.943 0.416 0.500
Ho 0.443 0.084 0.500
Ho 0.943 0.416 0.000
Er 0.943 0.167 0.250
Tm 0.443 0.833 0.250
Tm 0.943 0.167 0.750



Entry 5:
Ho2ErTm: relaxed, PBE.

Computed properties:
As for the space group: No. 160. As for the total magnetization: 0.0 μB/cell. The calculation puts the total DFT energy (no corrections) at -4.5383 eV per atom. The calculation puts the volume at 121.86 Å³/cell. The polymorph energy (0 for the lowest one) comes out at 0.04 eV/f.u. For the formation energy, the calculation gives 0.009 eV/atom.

a b c (Å): 3.532 3.532 11.465
angles (deg): 81.14 81.14 60.00
Positions (direct):
Ho 0.249 0.249 0.252
Er 0.666 0.666 0.001
Ho 0.084 0.084 0.748
Tm 0.500 0.500 0.499



Entry 6:
Ho4ErTm10: relaxed, PBE.

Computed properties:
As for the space group: No. 87. As for the total magnetization: 0.0 μB/cell. The calculation puts the total DFT energy (no corrections) at -3.7757 eV per atom. The calculation puts the volume at 541.56 Å³/cell. For the formation energy, the calculation gives 0.730 eV/atom.

a b c (Å): 7.556 9.271 9.271
angles (deg): 80.44 65.95 65.95
Positions (direct):
Tm 0.651 0.299 0.900
Tm 0.349 0.701 0.100
Tm 0.550 0.100 0.299
Ho 0.800 0.600 0.801
Tm 0.050 0.100 0.299
Ho 0.400 0.801 0.400
Tm 0.850 0.701 0.100
Tm 0.150 0.299 0.900
Ho 0.600 0.199 0.600
Tm 0.450 0.900 0.701
Er 0.000 0.000 0.000
Tm 0.750 0.500 0.500
Ho 0.200 0.400 0.199
Tm 0.950 0.900 0.701
Tm 0.250 0.500 0.500



Entry 7:
Ho2ErTm: relaxed, PBE.

Computed properties:
As for the space group: No. 123. As for the total magnetization: 0.0 μB/cell. The calculation puts the total DFT energy (no corrections) at -4.5235 eV per atom. The calculation puts the volume at 121.59 Å³/cell. The polymorph energy (0 for the lowest one) comes out at 0.10 eV/f.u. For the formation energy, the calculation gives 0.024 eV/atom.

a b c (Å): 4.952 4.955 4.955
angles (deg): 90.00 90.00 90.00
Positions (direct):
Er 0.500 0.500 0.500
Ho 0.000 0.500 0.000
Tm 0.500 0.000 0.000
Ho 0.000 0.000 0.500



Entry 8:
Ho5Er2Tm3: relaxed, PBE.

Computed properties:
As for the space group: No. 15. As for the total magnetization: 0.0 μB/cell. The calculation puts the total DFT energy (no corrections) at -4.3376 eV per atom. The calculation puts the volume at 632.33 Å³/cell. The polymorph energy (0 for the lowest one) comes out at 0.00 eV/f.u. For the formation energy, the calculation gives 0.205 eV/atom.

a b c (Å): 9.358 9.382 10.959
angles (deg): 125.83 125.78 68.38
Positions (direct):
Er 0.529 0.265 0.248
Ho 0.279 0.529 0.058
Tm 0.271 0.536 0.759
Er 0.781 0.017 0.752
Er 0.471 0.735 0.752
Ho 0.019 0.769 0.539
Ho 0.477 0.727 0.453
Ho 0.721 0.471 0.942
Ho 0.396 0.147 0.764
Tm 0.225 0.975 0.950
Ho 0.981 0.231 0.461
Ho 0.523 0.273 0.547
Tm 0.775 0.025 0.050
Tm 0.011 0.776 0.241
Ho 0.867 0.617 0.764
Tm 0.989 0.224 0.759
Tm 0.729 0.464 0.241
Ho 0.133 0.383 0.236
Er 0.219 0.983 0.248
Ho 0.604 0.853 0.236



Entry 9:
Ho3Er2Tm4: relaxed, PBE.

Computed properties:
As for the space group: No. 15. As for the total magnetization: 0.0 μB/cell. The calculation puts the total DFT energy (no corrections) at -4.4201 eV per atom. The calculation puts the volume at 545.84 Å³/cell. For the formation energy, the calculation gives 0.107 eV/atom.

a b c (Å): 6.031 11.070 11.070
angles (deg): 61.92 62.02 62.02
Positions (direct):
Ho 0.246 0.931 0.737
Ho 0.746 0.737 0.931
Tm 0.920 0.855 0.573
Er 0.578 0.763 0.479
Ho 0.250 0.597 0.403
Tm 0.578 0.096 0.812
Er 0.922 0.521 0.237
Tm 0.078 0.812 0.096
Tm 0.080 0.145 0.427
Er 0.422 0.237 0.521
Tm 0.580 0.427 0.145
Tm 0.420 0.573 0.855
Tm 0.922 0.188 0.904
Ho 0.750 0.403 0.597
Er 0.078 0.479 0.763
Ho 0.254 0.263 0.069
Tm 0.422 0.904 0.188
Ho 0.754 0.069 0.263



Entry 10:
Ho8ErTm3: relaxed, PBE.

Computed properties:
As for the space group: No. 2. As for the total magnetization: 0.0 μB/cell. The calculation puts the total DFT energy (no corrections) at -4.5250 eV per atom. The calculation puts the volume at 364.77 Å³/cell. For the formation energy, the calculation gives 0.025 eV/atom.

a b c (Å): 7.015 12.154 13.510
angles (deg): 132.01 97.16 125.61
Positions (direct):
Ho 0.500 0.333 0.667
Er 0.000 0.000 0.000
Ho 0.499 0.166 0.333
Tm 0.500 0.500 0.000
Tm 0.500 0.000 0.000
Ho 0.999 0.333 0.666
Ho 0.501 0.834 0.667
Ho 0.001 0.667 0.334
Ho 0.001 0.834 0.668
Tm 0.000 0.500 0.000
Ho 0.500 0.667 0.333
Ho 0.999 0.166 0.332



Entry 11:
Ho3Er8Tm2: relaxed, PBE.

Computed properties:
As for the space group: No. 10. As for the total magnetization: 0.0 μB/cell. The calculation puts the total DFT energy (no corrections) at -4.3094 eV per atom. The calculation puts the volume at 414.61 Å³/cell. For the formation energy, the calculation gives 0.243 eV/atom.

a b c (Å): 5.532 7.525 10.650
angles (deg): 110.74 90.01 90.00
Positions (direct):
Er 0.000 0.133 0.267
Er 0.500 0.603 0.782
Ho 0.000 0.285 0.000
Er 0.000 0.867 0.733
Tm 0.500 0.759 0.517
Er 0.000 0.669 0.336
Er 0.000 0.331 0.664
Er 0.500 0.821 0.218
Ho 0.500 0.000 0.000
Er 0.500 0.179 0.782
Tm 0.500 0.241 0.483
Ho 0.000 0.715 0.000
Er 0.500 0.397 0.218



Entry 12:
HoEr7Tm3: relaxed, PBE.

Computed properties:
As for the space group: No. 10. As for the total magnetization: 0.0 μB/cell. The calculation puts the total DFT energy (no corrections) at -4.3833 eV per atom. The calculation puts the volume at 341.87 Å³/cell. The polymorph energy (0 for the lowest one) comes out at 0.00 eV/f.u. For the formation energy, the calculation gives 0.156 eV/atom.

a b c (Å): 5.436 9.766 8.757
angles (deg): 105.76 128.38 89.99
Positions (direct):
Tm 0.722 0.001 0.221
Er 0.082 0.169 0.082
Ho 0.500 0.500 0.500
Tm 0.000 0.500 0.000
Er 0.322 0.641 0.822
Er 0.146 0.291 0.646
Tm 0.278 0.999 0.779
Er 0.854 0.709 0.354
Er 0.678 0.359 0.178
Er 0.918 0.831 0.918
Er 0.500 0.000 0.500